Compound: Cs2Ba3P4O14
Source: Alexandria via LeMat-Bulk
Functional: PBE
Structure: relaxed

Geometry as POSCAR:
```
Cs2Ba3P4O14
1.0
9.0908 0.0000 0.0000
0.0000 9.8497 0.0000
0.0000 0.0000 19.0298
Cs Ba P O
8 12 16 56
direct
0.7318 0.1650 0.3266
0.7682 0.8350 0.8266
0.2318 0.3350 0.6734
0.2682 0.6650 0.1734
0.9164 0.3058 0.1263
0.5836 0.6942 0.6263
0.4164 0.1942 0.8737
0.0836 0.8058 0.3737
0.4357 0.0354 0.4939
0.0643 0.9646 0.9939
0.9357 0.4646 0.5061
0.5643 0.5354 0.0061
0.5858 0.6518 0.3855
0.9142 0.3482 0.8855
0.0858 0.8482 0.6145
0.4142 0.1518 0.1145
0.2517 0.3300 0.3374
0.2483 0.6700 0.8374
0.7517 0.1700 0.6626
0.7483 0.8300 0.1626
0.7842 0.9136 0.4946
0.7158 0.0864 0.9946
0.2842 0.5864 0.5054
0.2158 0.4136 0.0054
0.5189 0.3720 0.5110
0.9811 0.6280 0.0110
0.0189 0.1280 0.4890
0.4811 0.8720 0.9890
0.8821 0.5450 0.2951
0.6179 0.4550 0.7951
0.3821 0.9550 0.7049
0.1179 0.0450 0.2049
0.6061 0.4572 0.2155
0.8939 0.5428 0.7155
0.1061 0.0428 0.7845
0.3939 0.9572 0.2845
0.1432 0.0254 0.5007
0.3568 0.9746 0.0007
0.6432 0.4746 0.4993
0.8568 0.5254 0.9993
0.6648 0.8925 0.4385
0.8352 0.1075 0.9385
0.1648 0.6075 0.5615
0.3352 0.3925 0.0615
0.7196 0.9691 0.5633
0.7804 0.0309 0.0633
0.2196 0.5309 0.4367
0.2804 0.4691 0.9367
0.5473 0.2677 0.5691
0.9527 0.7323 0.0691
0.0473 0.2323 0.4309
0.4527 0.7677 0.9309
0.3811 0.4630 0.5419
0.1189 0.5370 0.0419
0.8811 0.0370 0.4581
0.6189 0.9630 0.9581
0.4662 0.3027 0.4431
0.0338 0.6973 0.9431
0.9662 0.1973 0.5569
0.5338 0.8027 0.0569
0.4985 0.4856 0.2764
0.0015 0.5144 0.7764
0.9985 0.0144 0.7236
0.5015 0.9856 0.2236
0.5869 0.3160 0.1839
0.9131 0.6840 0.6839
0.0869 0.1840 0.8161
0.4131 0.8160 0.3161
0.6122 0.5712 0.1604
0.8878 0.4288 0.6604
0.1122 0.9288 0.8396
0.3878 0.0712 0.3396
0.7737 0.4425 0.2497
0.7263 0.5575 0.7497
0.2737 0.0575 0.7503
0.2263 0.9425 0.2503
0.8509 0.5108 0.3727
0.6491 0.4892 0.8727
0.3509 0.9892 0.6273
0.1491 0.0108 0.1273
0.8281 0.6898 0.2788
0.6719 0.3102 0.7788
0.3281 0.8102 0.7212
0.1719 0.1898 0.2212
0.0381 0.5108 0.2716
0.4619 0.4892 0.7716
0.5381 0.9892 0.7284
0.9619 0.0108 0.2284
0.8844 0.7905 0.5054
0.6156 0.2095 0.0054
0.3844 0.7095 0.4946
0.1156 0.2905 0.9946
```

Computed properties:
space-group type = No. 19
E_form (uncorrected) = -2.622 eV/atom
N(E_F) = 0.000 states/eV per atom